(1)
Computed, not measured: InTcSn3 after structural relaxation at the GGA-PBE level of DFT.

Results
Calculated formation energy = 1398 meV per atom
V = 169.10 Å³ per cell
Distance to the lowest polymorph of the same formula = 5.89 eV/f.u.
Final energy = -3.62 eV/atom

Cell and atoms, written as POSCAR:
```
InTcSn3
1.0
5.530 0.000 0.000
0.000 5.530 0.000
0.000 0.000 5.530
In Sn Tc
1 3 1
direct
0.000 0.000 0.000
0.500 0.000 0.000
0.000 0.500 0.000
0.000 0.000 0.500
0.500 0.500 0.500
```

=====

(2)
Computed, not measured: InTc2Sn2 after structural relaxation at the GGA-PBE level of DFT.

Results
Calculated formation energy = 137 meV per atom
V = 192.08 Å³ per cell
Distance to the lowest polymorph of the same formula = 0.00 eV/f.u.
Final energy = -6.16 eV/atom

Cell and atoms, written as POSCAR:
```
InTc2Sn2
1.0
-1.564 6.846 -2.546
-4.955 -2.907 -4.774
-2.473 0.317 2.373
Tc Sn In
4 4 2
direct
0.646 0.146 0.000
0.146 0.354 0.000
0.854 0.646 0.000
0.354 0.854 0.000
0.650 0.850 0.500
0.150 0.650 0.500
0.850 0.350 0.500
0.350 0.150 0.500
0.500 0.500 0.000
0.000 0.000 0.000
```

=====

(3)
Computed, not measured: In3TcSn after structural relaxation at the GGA-PBE level of DFT.

Results
Calculated formation energy = 437 meV per atom
V = 142.04 Å³ per cell
Distance to the lowest polymorph of the same formula = 0.00 eV/f.u.
Final energy = -4.08 eV/atom

Cell and atoms, written as POSCAR:
```
In3TcSn
1.0
5.218 0.000 0.000
0.000 5.218 0.000
0.000 0.000 5.218
In Sn Tc
3 1 1
direct
0.000 0.500 0.000
0.000 0.000 0.500
0.500 0.000 0.000
0.500 0.500 0.500
0.000 0.000 0.000
```

=====

(4)
Computed, not measured: InTcSn3 after structural relaxation at the GGA-PBE level of DFT.

Results
Calculated formation energy = 219 meV per atom
V = 141.68 Å³ per cell
Distance to the lowest polymorph of the same formula = 0.00 eV/f.u.
Final energy = -4.80 eV/atom

Cell and atoms, written as POSCAR:
```
InTcSn3
1.0
5.213 0.000 0.000
0.000 5.213 0.000
0.000 0.000 5.213
Sn In Tc
3 1 1
direct
0.500 0.000 0.000
0.000 0.000 0.500
0.000 0.500 0.000
0.500 0.500 0.500
0.000 0.000 0.000
```

=====

(5)
Computed, not measured: InTc2SnTe after structural relaxation at the GGA-PBE level of DFT.

Results
V = 151.88 Å³ per cell
Final energy = -4.62 eV/atom
Formation energy (no corrections) = 1.5077 eV per atom

Cell and atoms, written as POSCAR:
```
InTc2SnTe
1.0
5.143 0.000 0.000
0.000 5.741 0.000
0.000 0.000 5.143
Tc Sn In Te
2 1 1 1
direct
0.000 0.000 0.500
0.500 0.000 0.000
0.000 0.000 0.000
0.500 0.500 0.500
0.000 0.500 0.000
```

=====

(6)
Computed, not measured: TlIn2TcSn after structural relaxation at the GGA-PBE level of DFT.

Results
Calculated formation energy = 141 meV per atom
V = 144.25 Å³ per cell
Final energy = -4.30 eV/atom

Cell and atoms, written as POSCAR:
```
TlIn2TcSn
1.0
-3.107 3.836 1.904
-2.087 0.697 -4.811
-3.643 -3.484 1.076
Tc In Sn Tl
1 2 1 1
direct
0.000 0.000 0.000
0.000 0.500 0.000
0.500 0.000 0.000
0.000 0.000 0.500
0.500 0.500 0.500
```

=====

Question: The highest V belongs to which entry?
Answer: InTc2Sn2

=====

Question: What is the final energy in the fourth record?
Answer: -4.80 eV/atom

=====

Question: Among the records above, which one has the highest final energy?
Answer: number 1